Compound: ZnCo3Sb
Source: Alexandria via LeMat-Bulk
Functional: PBE
Structure: optimized geometry

```
data_ZnCo3Sb
_cell_length_a 4.3544
_cell_length_b 4.3544
_cell_length_c 4.3544
_cell_angle_alpha 90.00
_cell_angle_beta 90.00
_cell_angle_gamma 90.00
_space_group_name_H-M_alt 'P m -3 m'
_space_group_IT_number 221
_space_group_name_Hall '-P 4 2 3'
loop_
_atom_site_label
_atom_site_fract_x
_atom_site_fract_y
_atom_site_fract_z
Zn1 0.0000 0.0000 0.0000
Co1 0.0000 0.0000 0.5000
Sb1 0.5000 0.5000 0.5000
```

Computed properties:
Raw total energy ... -22.07 eV/f.u.
Uncorrected formation energy ... 929 meV per atom
Mass density ... 7.32 Mg/m³